# 1
A relaxed Ag2Pd4Pt crystal, computed with PBE.

a b c (Å): 4.6765 5.3047 6.0473
angles (deg): 116.01 90.00 90.00
With the nearest neighbours (Å) after each atom.
Positions (direct):
Ag  0.5000  0.1236  0.2472  5 Pd 2.65-2.77, 1 Ag 2.69
Ag  0.5000  0.8764  0.7528  5 Pd 2.65-2.77, 1 Ag 2.69
Pd  0.5000  0.6213  0.2425  3 Pd 2.64-2.68, 3 Ag 2.65-2.77, 2 Pt 2.68
Pd  0.0000  0.7419  0.4839  1 Pt 2.63, 4 Pd 2.66-2.68, 2 Ag 2.76
Pd  0.5000  0.3787  0.7575  3 Pd 2.64-2.68, 3 Ag 2.65-2.77, 2 Pt 2.68
Pd  0.0000  0.2581  0.5161  1 Pt 2.63, 4 Pd 2.66-2.68, 2 Ag 2.76
Pt  0.0000  0.5000  0.0000  6 Pd 2.63-2.68

Calculated values
Total DFT energy (no corrections): -4.209 eV per atom
Formation enthalpy at 0 K: 0.44 eV/atom
Relative energy among the computed polymorphs: 0.1899 eV/atom
Space-group type: Cmmm, No. 65
Total moment: 0.000 μB/f.u.

---

# 2
A relaxed AgPd12Pt3 crystal, computed with PBE.

a b c (Å): 3.9638 3.9638 15.8357
angles (deg): 90.00 90.00 90.00
With the nearest neighbours (Å) after each atom.
Positions (direct):
Ag  0.0000  0.0000  0.0000  12 Pd 2.80-2.83
Pd  0.5000  0.5000  0.0000  4 Ag 2.80, 8 Pd 2.83
Pd  0.5000  0.5000  0.2512  8 Pd 2.78-2.80, 4 Pt 2.80
Pd  0.5000  0.5000  0.5000  8 Pd 2.79, 4 Pt 2.80
Pd  0.5000  0.5000  0.7488  8 Pd 2.78-2.80, 4 Pt 2.80
Pd  0.5000  0.0000  0.1278  8 Pd 2.78-2.83, 2 Pt 2.80, 2 Ag 2.83
Pd  0.5000  0.0000  0.3760  4 Pt 2.78-2.79, 8 Pd 2.79-2.80
Pd  0.5000  0.0000  0.6240  4 Pt 2.78-2.79, 8 Pd 2.79-2.80
Pd  0.5000  0.0000  0.8722  8 Pd 2.78-2.83, 2 Pt 2.80, 2 Ag 2.83
Pd  0.0000  0.5000  0.1278  8 Pd 2.78-2.83, 2 Pt 2.80, 2 Ag 2.83
Pd  0.0000  0.5000  0.3760  4 Pt 2.78-2.79, 8 Pd 2.79-2.80
Pd  0.0000  0.5000  0.6240  4 Pt 2.78-2.79, 8 Pd 2.79-2.80
Pd  0.0000  0.5000  0.8722  8 Pd 2.78-2.83, 2 Pt 2.80, 2 Ag 2.83
Pt  0.0000  0.0000  0.2528  12 Pd 2.78-2.80
Pt  0.0000  0.0000  0.5000  12 Pd 2.79-2.80
Pt  0.0000  0.0000  0.7472  12 Pd 2.78-2.80

Calculated values
Total DFT energy (no corrections): -5.216 eV per atom
Formation enthalpy at 0 K: -0.01 eV/atom
Space-group type: P4/mmm, No. 123
Total moment: 1.874 μB/f.u.

---

# 3
A relaxed Ag2Pd4Pt3 crystal, computed with PBE.

a b c (Å): 2.7756 7.7791 7.4778
angles (deg): 114.75 100.88 90.02
With the nearest neighbours (Å) after each atom.
Positions (direct):
Ag  0.6666  0.9983  0.3340  4 Ag 2.78-2.80, 3 Pd 2.82-2.86, 5 Pt 2.82-2.90
Ag  0.3334  0.0017  0.6660  4 Ag 2.78-2.80, 3 Pd 2.82-2.86, 5 Pt 2.82-2.90
Pd  0.4849  0.6720  0.9647  5 Pd 2.78-2.93, 6 Pt 2.81-2.84, 1 Ag 2.82
Pd  0.1831  0.3317  0.3697  6 Pd 2.78-2.86, 4 Pt 2.80-2.84, 2 Ag 2.85-2.86
Pd  0.5151  0.3280  0.0353  5 Pd 2.78-2.93, 6 Pt 2.81-2.84, 1 Ag 2.82
Pd  0.8169  0.6683  0.6303  6 Pd 2.78-2.86, 4 Pt 2.80-2.84, 2 Ag 2.85-2.86
Pt  0.1477  0.6567  0.2936  2 Pt 2.78, 7 Pd 2.80-2.84, 3 Ag 2.90
Pt  0.8523  0.3433  0.7064  2 Pt 2.78, 7 Pd 2.80-2.84, 3 Ag 2.90
Pt  0.0000  0.0000  0.0000  2 Pt 2.78, 6 Pd 2.81-2.84, 4 Ag 2.82-2.83

Calculated values
Total DFT energy (no corrections): -4.939 eV per atom
Formation enthalpy at 0 K: 0.02 eV/atom
Space-group type: P-1, No. 2
Total moment: 0.000 μB/f.u.

---

total DFT energy (no corrections) of number 1 (Ag2Pd4Pt)? -4.209 eV per atom

---

The highest total DFT energy (no corrections) belongs to which entry? Ag2Pd4Pt

---

Which of these has the lowest total DFT energy (no corrections)? AgPd12Pt3